# 1
K3Zn2Te4 | PBE-GGA | optimized geometry

* formation energy from raw total energies: -0.710 eV per atom
* distance to the lowest polymorph of the same formula: 0.000 eV per atom
* DFT total energy: -2.755 eV/atom

Cell lengths 16.310, 4.207, 10.687 Å; angles 90.00, 121.08, 90.00 degrees
Space group C2/m (No. 12)
One atom of each set of equivalent atoms:
K 0.000 0.000 0.000 x2
K 0.107 0.500 0.714 x4
Zn 0.192 0.500 0.348 x4
Te 0.115 0.000 0.412 x4
Te 0.194 0.500 0.107 x4

# 2
KZn2Te2 | PBE-GGA | optimized geometry

* formation energy from raw total energies: -0.345 eV per atom
* distance to the lowest polymorph of the same formula: 0.106 eV per atom
* DFT total energy: -2.331 eV/atom

Cell lengths 5.191, 5.191, 10.447 Å; angles 90.00, 90.00, 90.00 degrees
Space group I4/mmm (No. 139)
One atom of each set of equivalent atoms:
K 0.000 0.000 0.000 x2
Zn 0.000 0.000 0.383 x4
Te 0.000 0.500 0.250 x4

# 3
KZnTe | PBE-GGA | optimized geometry

* formation energy from raw total energies: -0.257 eV per atom
* distance to the lowest polymorph of the same formula: 0.335 eV per atom
* DFT total energy: -2.094 eV/atom

Cell lengths 5.6641, 5.6641, 3.2774 Å; angles 90.00, 90.00, 120.00 degrees
Space group P3m1 (No. 156)
One atom of each set of equivalent atoms:
K 0.0000 0.0000 0.0000 x1
Zn 0.3333 0.6667 0.5023 x1
Te 0.6667 0.3333 0.4997 x1

# 4
KZnTe | PBE-GGA | optimized geometry

* formation energy from raw total energies: -0.298 eV per atom
* distance to the lowest polymorph of the same formula: 0.293 eV per atom
* DFT total energy: -2.136 eV/atom

Cell lengths 7.353, 7.353, 7.353 Å; angles 90.00, 90.00, 90.00 degrees
Space group F-43m (No. 216)
One atom of each set of equivalent atoms:
K 0.000 0.000 0.000 x4
Zn 0.250 0.250 0.750 x4
Te 0.000 0.000 0.500 x4

# 5
KZn3Te | PBE-GGA | optimized geometry

* formation energy from raw total energies: 0.761 eV per atom
* distance to the lowest polymorph of the same formula: 0.442 eV per atom
* DFT total energy: -0.852 eV/atom

Cell lengths 6.084, 6.084, 6.084 Å; angles 90.00, 90.00, 90.00 degrees
Space group Pm-3m (No. 221)
One atom of each set of equivalent atoms:
K 0.000 0.000 0.000 x1
Zn 0.000 0.000 0.500 x3
Te 0.500 0.500 0.500 x1

# 6
KZnTe3 | PBE-GGA | optimized geometry

* formation energy from raw total energies: -0.149 eV per atom
* distance to the lowest polymorph of the same formula: 0.000 eV per atom
* DFT total energy: -2.508 eV/atom

Cell lengths 5.488, 5.488, 5.488 Å; angles 90.00, 90.00, 90.00 degrees
Space group Pm-3m (No. 221)
One atom of each set of equivalent atoms:
K 0.000 0.000 0.000 x1
Zn 0.500 0.500 0.500 x1
Te 0.000 0.500 0.500 x3

# 7
K2ZnTe | PBE-GGA | optimized geometry

* formation energy from raw total energies: -0.370 eV per atom
* distance to the lowest polymorph of the same formula: 0.188 eV per atom
* DFT total energy: -2.022 eV/atom

Cell lengths 4.847, 4.847, 6.844 Å; angles 90.00, 90.00, 90.00 degrees
Space group P4mm (No. 99)
One atom of each set of equivalent atoms:
K 0.000 0.000 0.000 x1
K 0.500 0.500 0.381 x1
Zn 0.500 0.500 0.838 x1
Te 0.000 0.000 0.512 x1

# 8
K2ZnTe | PBE-GGA | optimized geometry

* formation energy from raw total energies: -0.392 eV per atom
* distance to the lowest polymorph of the same formula: 0.166 eV per atom
* DFT total energy: -2.045 eV/atom

Cell lengths 8.267, 8.267, 8.267 Å; angles 90.00, 90.00, 90.00 degrees
Space group F-43m (No. 216)
One atom of each set of equivalent atoms:
K 0.000 0.000 0.000 x4
K 0.250 0.250 0.250 x4
Zn 0.250 0.250 0.750 x4
Te 0.000 0.000 0.500 x4

# 9
K2ZnTe | PBE-GGA | optimized geometry

* formation energy from raw total energies: -0.450 eV per atom
* distance to the lowest polymorph of the same formula: 0.108 eV per atom
* DFT total energy: -2.103 eV/atom

Cell lengths 5.094, 5.094, 10.923 Å; angles 90.00, 90.00, 90.00 degrees
Space group I-4m2 (No. 119)
One atom of each set of equivalent atoms:
K 0.000 0.000 0.000 x2
K 0.000 0.500 0.250 x2
Zn 0.000 0.000 0.500 x2
Te 0.000 0.500 0.750 x2

# 10
KZnTe4 | PBE-GGA | optimized geometry

* formation energy from raw total energies: -0.029 eV per atom
* DFT total energy: -2.519 eV/atom

Cell lengths 9.249, 9.249, 9.249 Å; angles 90.00, 90.00, 90.00 degrees
Space group F-43m (No. 216)
One atom of each set of equivalent atoms:
K 0.000 0.000 0.000 x4
Zn 0.250 0.250 0.250 x4
Te 0.124 0.124 0.624 x16

# 11
KZn2Te2 | PBE-GGA | optimized geometry

* formation energy from raw total energies: -0.451 eV per atom
* distance to the lowest polymorph of the same formula: 0.000 eV per atom
* DFT total energy: -2.436 eV/atom

Cell lengths 4.780, 4.780, 14.018 Å; angles 90.00, 90.00, 90.00 degrees
Space group I4/mmm (No. 139)
One atom of each set of equivalent atoms:
K 0.000 0.000 0.000 x2
Zn 0.000 0.500 0.250 x4
Te 0.000 0.000 0.352 x4

# 12
KZnTe | PBE-GGA | optimized geometry

* formation energy from raw total energies: -0.413 eV per atom
* distance to the lowest polymorph of the same formula: 0.179 eV per atom
* DFT total energy: -2.250 eV/atom

Cell lengths 4.9529, 4.9529, 4.9584 Å; angles 90.00, 90.00, 120.00 degrees
Space group P-6m2 (No. 187)
One atom of each set of equivalent atoms:
K 0.0000 0.0000 0.0000 x1
Zn 0.3333 0.6667 0.5000 x1
Te 0.6667 0.3333 0.5000 x1

# 13
K3Zn2Te4 | PBE-GGA | optimized geometry

* formation energy from raw total energies: -0.707 eV per atom
* distance to the lowest polymorph of the same formula: 0.003 eV per atom
* DFT total energy: -2.752 eV/atom

Cell lengths 4.623, 8.277, 9.429 Å; angles 113.57, 104.16, 90.02 degrees
Space group P-1 (No. 2)
One atom of each set of equivalent atoms:
K 0.000 0.000 0.000 x1
K 0.130 0.556 0.261 x2
Zn 0.328 0.041 0.658 x2
Te 0.212 0.168 0.423 x2
Te 0.479 0.284 0.958 x2

# 14
K2ZnTe | PBE-GGA | optimized geometry

* formation energy from raw total energies: -0.541 eV per atom
* distance to the lowest polymorph of the same formula: 0.018 eV per atom
* DFT total energy: -2.193 eV/atom

Cell lengths 5.052, 4.732, 6.868 Å; angles 90.00, 111.39, 90.00 degrees
Space group Pm (No. 6)
One atom of each set of equivalent atoms:
K 0.000 0.000 0.000 x1
K 0.285 0.500 0.571 x1
Zn 0.564 0.500 0.134 x1
Te 0.714 0.000 0.428 x1

# 15
KZnTe | PBE-GGA | optimized geometry

* formation energy from raw total energies: -0.310 eV per atom
* distance to the lowest polymorph of the same formula: 0.282 eV per atom
* DFT total energy: -2.148 eV/atom

Cell lengths 4.055, 4.055, 11.814 Å; angles 90.00, 90.00, 90.00 degrees
Space group I4mm (No. 107)
One atom of each set of equivalent atoms:
K 0.000 0.000 0.000 x2
Zn 0.000 0.000 0.725 x2
Te 0.000 0.000 0.290 x2

# 16
K4ZnTe | PBE-GGA | optimized geometry

* formation energy from raw total energies: 0.021 eV per atom
* DFT total energy: -1.446 eV/atom

Cell lengths 10.353, 10.353, 10.353 Å; angles 90.00, 90.00, 90.00 degrees
Space group F-43m (No. 216)
One atom of each set of equivalent atoms:
K 0.123 0.123 0.123 x16
Zn 0.000 0.000 0.500 x4
Te 0.250 0.250 0.750 x4

# 17
K2ZnTe | PBE-GGA | optimized geometry

* formation energy from raw total energies: -0.463 eV per atom
* distance to the lowest polymorph of the same formula: 0.095 eV per atom
* DFT total energy: -2.116 eV/atom

Cell lengths 7.853, 7.880, 4.645 Å; angles 90.00, 90.00, 90.00 degrees
Space group Cmmm (No. 65)
One atom of each set of equivalent atoms:
K 0.250 0.250 0.000 x4
Zn 0.000 0.000 0.500 x2
Te 0.000 0.500 0.500 x2

# 18
KZnTe | PBE-GGA | optimized geometry

* formation energy from raw total energies: -0.592 eV per atom
* distance to the lowest polymorph of the same formula: 0.000 eV per atom
* DFT total energy: -2.429 eV/atom

Cell lengths 11.083, 8.183, 9.374 Å; angles 90.00, 107.98, 90.00 degrees
Space group Cc (No. 9)
One atom of each set of equivalent atoms:
K 0.000 0.084 0.000 x4
K 0.168 0.351 0.725 x4
Zn 0.216 0.193 0.357 x4
Zn 0.343 0.019 0.558 x4
Te 0.311 0.290 0.137 x4
Te 0.489 0.170 0.820 x4

# 19
K2ZnTe | PBE-GGA | optimized geometry

* formation energy from raw total energies: -0.558 eV per atom
* distance to the lowest polymorph of the same formula: 0.000 eV per atom
* DFT total energy: -2.211 eV/atom

Cell lengths 8.318, 8.318, 8.318 Å; angles 90.00, 90.00, 90.00 degrees
Space group Fm-3m (No. 225)
One atom of each set of equivalent atoms:
K 0.250 0.250 0.250 x8
Zn 0.000 0.000 0.000 x4
Te 0.000 0.000 0.500 x4

# 20
K2ZnTe | PBE-GGA | optimized geometry

* formation energy from raw total energies: -0.281 eV per atom
* distance to the lowest polymorph of the same formula: 0.277 eV per atom
* DFT total energy: -1.934 eV/atom

Cell lengths 6.279, 6.279, 20.703 Å; angles 90.00, 90.00, 90.00 degrees
Space group I-42d (No. 122)
One atom of each set of equivalent atoms:
K 0.222 0.250 0.125 x8
Zn 0.000 0.000 0.500 x4
Te 0.000 0.000 0.000 x4

# 21
KZnTe3 | PBE-GGA | optimized geometry

* formation energy from raw total energies: 0.887 eV per atom
* distance to the lowest polymorph of the same formula: 1.036 eV per atom
* DFT total energy: -1.473 eV/atom

Cell lengths 6.103, 6.103, 6.103 Å; angles 90.00, 90.00, 90.00 degrees
Space group Pm-3m (No. 221)
One atom of each set of equivalent atoms:
K 0.000 0.000 0.000 x1
Zn 0.500 0.500 0.500 x1
Te 0.000 0.000 0.500 x3

# 22
K4ZrTe | PBE-GGA | optimized geometry

* formation energy from raw total energies: 0.585 eV per atom
* DFT total energy: -2.095 eV/atom

Cell lengths 9.996, 9.996, 9.996 Å; angles 90.00, 90.00, 90.00 degrees
Space group F-43m (No. 216)
One atom of each set of equivalent atoms:
K 0.124 0.124 0.124 x16
Zr 0.000 0.000 0.500 x4
Te 0.250 0.250 0.750 x4

# 23
K2ZrTe | PBE-GGA | optimized geometry

* formation energy from raw total energies: -0.081 eV per atom
* DFT total energy: -3.552 eV/atom

Cell lengths 21.155, 3.908, 4.362 Å; angles 90.00, 101.82, 90.00 degrees
Space group C2/m (No. 12)
One atom of each set of equivalent atoms:
K 0.156 0.000 0.155 x4
Zr 0.000 0.000 0.500 x2
Te 0.000 0.500 0.000 x2

# 24
K2ZrTe | PBE-GGA | optimized geometry

* formation energy from raw total energies: 0.306 eV per atom
* DFT total energy: -3.166 eV/atom

Cell lengths 3.5060, 3.5060, 37.5090 Å; angles 90.00, 90.00, 120.00 degrees
Space group R-3m (No. 166, hexagonal axes)
One atom of each set of equivalent atoms:
K 0.0000 0.0000 0.2420 x6
Zr 0.0000 0.0000 0.0000 x3
Te 0.0000 0.0000 0.5000 x3

# 25
K5Zr2Te6 | PBE-GGA | optimized geometry

* formation energy from raw total energies: -1.002 eV per atom
* DFT total energy: -4.190 eV/atom

Cell lengths 14.275, 8.970, 18.569 Å; angles 90.00, 102.68, 90.00 degrees
Space group C2/c (No. 15)
One atom of each set of equivalent atoms:
K 0.000 0.160 0.250 x4
K 0.048 0.238 0.000 x8
K 0.162 0.371 0.735 x8
Zr 0.228 0.370 0.430 x8
Te 0.047 0.475 0.372 x8
Te 0.135 0.028 0.642 x8
Te 0.217 0.053 0.419 x8

# 26
K2ZrTe | PBE-GGA | optimized geometry

* formation energy from raw total energies: 0.017 eV per atom
* DFT total energy: -3.455 eV/atom

Cell lengths 3.908, 6.307, 13.359 Å; angles 90.00, 90.00, 90.00 degrees
Space group Imm2 (No. 44)
One atom of each set of equivalent atoms:
K 0.000 0.000 0.000 x2
K 0.000 0.500 0.192 x2
Zr 0.000 0.000 0.383 x2
Te 0.000 0.500 0.728 x2

# 27
K2ZrTe | PBE-GGA | optimized geometry

* formation energy from raw total energies: 0.033 eV per atom
* DFT total energy: -3.438 eV/atom

Cell lengths 3.961, 6.085, 14.325 Å; angles 90.00, 90.00, 90.00 degrees
Space group Amm2 (No. 38)
One atom of each set of equivalent atoms:
K 0.000 0.000 0.000 x2
K 0.500 0.000 0.301 x2
Zr 0.500 0.000 0.608 x2
Te 0.000 0.000 0.751 x2

# 28
K2ZrTe | PBE-GGA | optimized geometry

* formation energy from raw total energies: 0.332 eV per atom
* DFT total energy: -3.139 eV/atom

Cell lengths 5.240, 5.240, 9.824 Å; angles 90.00, 90.00, 90.00 degrees
Space group I-4m2 (No. 119)
One atom of each set of equivalent atoms:
K 0.000 0.000 0.000 x2
K 0.000 0.500 0.250 x2
Zr 0.000 0.000 0.500 x2
Te 0.000 0.500 0.750 x2